The following is a GGA-PBE calculation of a relaxed Ac2Pr3NdN6 crystal, from Alexandria.

Cell lengths 8.4494, 8.4494, 7.5282 Å; angles 102.88, 102.88, 25.65 degrees
Fractional positions:
Ac: 0.1656 0.1656 0.3284
Ac: 0.8344 0.8344 0.6716
Pr: 0.1606 0.1606 0.8327
Pr: 0.5000 0.5000 0.5000
Pr: 0.8394 0.8394 0.1673
Nd: 0.5000 0.5000 0.0000
N: 0.0021 0.0021 0.7533
N: 0.3393 0.3393 0.4085
N: 0.3403 0.3403 0.9258
N: 0.6597 0.6597 0.0742
N: 0.6607 0.6607 0.5915
N: 0.9979 0.9979 0.2467

Values from the calculation:
Space group: C2/m
Size of the total moment, μB per formula unit: 0.0
Energy, eV per cell: -91.7
Raw formation energy, eV per atom: -1.200

=====

The following is a GGA-PBE calculation of a relaxed Cr2CuP crystal, from Alexandria.

Cell lengths 4.6995, 4.6995, 4.6995 Å; angles 143.01, 129.41, 64.31 degrees
Fractional positions:
Cr: 0.0000 0.0000 0.0000
Cr: 0.7269 0.2269 0.5000
Cu: 0.4547 0.4547 0.0000
P: 0.2280 0.7280 0.5000

Values from the calculation:
Space group: Imm2
Size of the total moment, μB per formula unit: 0.0
Energy, eV per cell: -28.6